Computed, not measured: an optimized crystal structure of Nb2H2Rh at the GGA-PBE level of DFT.

Cell and atoms, written as POSCAR:
```
Nb2H2Rh
1.0
2.9389 0.0000 0.0000
0.0000 2.9389 0.0000
0.0000 0.0000 6.6497
Nb H Rh
2 2 1
Cartesian
0.0000 0.0000 1.4430
0.0000 0.0000 5.2067
0.0000 1.4694 0.0000
1.4694 0.0000 0.0000
1.4694 1.4694 3.3249
```

Calculated values
Space group ... P4/mmm (123)
E ... -0.257 hartree per atom

***

Computed, not measured: an optimized crystal structure of Sr3In2Sb4 at the GGA-PBE level of DFT.

Cell and atoms, written as POSCAR:
```
Sr3In2Sb4
1.0
7.5549 -2.3169 0.0000
7.5549 2.3169 0.0000
-6.2321 0.0000 8.8790
Sr In Sb
3 2 4
Cartesian
0.0000 0.0000 0.0000
4.0218 0.0000 2.3600
4.8558 0.0000 6.5190
0.7276 0.0000 5.8866
8.1499 0.0000 2.9924
-1.1733 0.0000 3.5705
-0.9801 0.0000 8.1364
9.8577 0.0000 0.7427
10.0509 0.0000 5.3085
```

Calculated values
Space group ... C2/m (12)
Raw formation energy ... -15.023 kcal/mol of atoms
E ... -0.134 hartree per atom

***

Computed, not measured: an optimized crystal structure of NpSc2S3 at the GGA-PBE level of DFT.

Cell and atoms, written as POSCAR:
```
NpSc2S3
1.0
-1.8702 2.6642 5.6910
1.8702 -2.6642 5.6910
1.8702 2.6642 -5.6910
Np Sc S
1 2 3
Cartesian
0.0000 0.0000 0.0000
0.0000 0.0000 3.7861
0.0000 0.0000 7.5960
1.8702 0.0000 1.9941
0.0000 2.6642 0.0000
0.0000 2.6642 3.6969
```

Calculated values
Space group ... Immm (71)
Raw formation energy ... -39.074 kcal/mol of atoms
E ... -0.295 hartree per atom

***

Computed, not measured: an optimized crystal structure of Pr8AgRh3I4 at the GGA-PBE level of DFT.

Cell and atoms, written as POSCAR:
```
Pr8AgRh3I4
1.0
4.2678 2.4640 8.1929
-4.2678 2.4640 8.1929
0.0000 -4.9281 8.1929
Pr Ag Rh I
8 1 3 4
Cartesian
-2.2452 -1.2963 13.8335
0.0000 0.0000 5.6377
0.0000 -2.5925 10.7451
-2.2452 1.2963 10.7451
2.2452 -1.2963 13.8335
0.0000 2.5925 13.8335
0.0000 0.0000 18.9410
2.2452 1.2963 10.7452
0.0000 0.0000 12.2893
-4.2678 0.0000 12.2893
-2.1339 1.2320 4.0964
2.1339 1.2320 4.0964
0.0000 0.0000 0.0000
-2.1339 -1.2320 8.1929
-2.1339 1.2320 16.3858
0.0000 2.4640 8.1929
```

Calculated values
Space group ... R-3m (166)
Raw formation energy ... -19.104 kcal/mol of atoms
E ... -0.190 hartree per atom

***

Computed, not measured: an optimized crystal structure of CdSi2Hg at the GGA-PBE level of DFT.

Cell and atoms, written as POSCAR:
```
CdSi2Hg
1.0
2.8838 -5.2961 0.0000
2.8838 5.2961 0.0000
-1.6744 0.0000 2.6282
Cd Si Hg
1 2 1
Cartesian
0.0000 0.0000 0.0000
1.4419 2.6481 0.0000
1.4419 -2.6481 0.0000
2.8838 0.0000 0.0000
```

Calculated values
Space group ... C2/m (12)
Raw formation energy ... 11.572 kcal/mol of atoms
E ... -0.092 hartree per atom

***

Computed, not measured: an optimized crystal structure of PrUSb2 at the GGA-PBE level of DFT.

Cell and atoms, written as POSCAR:
```
PrUSb2
1.0
2.2065 1.2739 7.4680
-2.2065 1.2739 7.4680
0.0000 -2.5478 7.4680
Pr U Sb
1 1 2
Cartesian
0.0000 0.0000 0.0000
0.0000 0.0000 11.2019
0.0000 0.0000 5.5224
0.0000 0.0000 16.8814
```

Calculated values
Space group ... R-3m (166)
Raw formation energy ... -15.782 kcal/mol of atoms
E ... -0.249 hartree per atom